# 1
RbAgBiAu: relaxed, PBE.

a b c (Å): 7.561 7.561 7.561
angles (deg): 90.00 90.00 90.00
Positions (direct):
Rb: 0.000 0.000 0.000
Rb: 0.000 0.500 0.500
Rb: 0.500 0.000 0.500
Rb: 0.500 0.500 0.000
Ag: 0.250 0.250 0.250
Ag: 0.250 0.750 0.750
Ag: 0.750 0.250 0.750
Ag: 0.750 0.750 0.250
Bi: 0.000 0.000 0.500
Bi: 0.000 0.500 0.000
Bi: 0.500 0.000 0.000
Bi: 0.500 0.500 0.500
Au: 0.250 0.250 0.750
Au: 0.250 0.750 0.250
Au: 0.750 0.250 0.250
Au: 0.750 0.750 0.750

Values from the calculation:
Raw total energy in eV/atom: -2.6919
Energy above the most stable polymorph in this dataset in eV/atom: 0.000
Space group: F-43m, No. 216
ρ in Mg/m³: 9.209
Volume in Å³/f.u.: 108.1

=====

# 2
MgCdTeO: relaxed, PBE.

a b c (Å): 6.232 8.198 13.179
angles (deg): 90.00 90.00 90.00
Positions (direct):
Mg: 0.001 0.205 0.250
Mg: 0.001 0.295 0.750
Mg: 0.499 0.705 0.250
Mg: 0.499 0.795 0.750
Mg: 0.501 0.205 0.250
Mg: 0.501 0.295 0.750
Mg: 0.999 0.705 0.250
Mg: 0.999 0.795 0.750
Cd: 0.249 0.042 0.583
Cd: 0.249 0.458 0.083
Cd: 0.251 0.542 0.583
Cd: 0.251 0.958 0.083
Cd: 0.749 0.042 0.917
Cd: 0.749 0.458 0.417
Cd: 0.751 0.542 0.917
Cd: 0.751 0.958 0.417
Te: 0.249 0.539 0.876
Te: 0.249 0.961 0.376
Te: 0.251 0.039 0.876
Te: 0.251 0.461 0.376
Te: 0.749 0.539 0.624
Te: 0.749 0.961 0.124
Te: 0.751 0.039 0.624
Te: 0.751 0.461 0.124
O: 0.250 0.214 0.160
O: 0.250 0.286 0.660
O: 0.250 0.714 0.160
O: 0.250 0.786 0.660
O: 0.750 0.214 0.340
O: 0.750 0.286 0.840
O: 0.750 0.714 0.340
O: 0.750 0.786 0.840

Values from the calculation:
Raw total energy in eV/atom: -3.8115
Energy above the most stable polymorph in this dataset in eV/atom: 0.145
Space group: Pbca, No. 61
ρ in Mg/m³: 5.530
Volume in Å³/f.u.: 84.2

=====

# 3
Ga2NiOs: relaxed, PBE.

a b c (Å): 6.028 6.028 6.028
angles (deg): 90.00 90.00 90.00
Positions (direct):
Ga: 0.000 0.000 0.000
Ga: 0.000 0.500 0.500
Ga: 0.250 0.250 0.250
Ga: 0.250 0.750 0.750
Ga: 0.500 0.000 0.500
Ga: 0.500 0.500 0.000
Ga: 0.750 0.250 0.750
Ga: 0.750 0.750 0.250
Ni: 0.000 0.000 0.500
Ni: 0.000 0.500 0.000
Ni: 0.500 0.000 0.000
Ni: 0.500 0.500 0.500
Os: 0.250 0.250 0.750
Os: 0.250 0.750 0.250
Os: 0.750 0.250 0.250
Os: 0.750 0.750 0.750

Values from the calculation:
Raw total energy in eV/atom: -5.5327
Total magnetic moment in μB/cell: 0.005
Space group: F-43m, No. 216
ρ in Mg/m³: 11.777
Volume in Å³/f.u.: 54.8

=====

# 4
LaNd3I2O2: relaxed, PBE.

a b c (Å): 3.794 3.794 15.112
angles (deg): 90.00 90.00 120.00
Positions (direct):
La: 0.000 0.000 0.000
Nd: 0.000 0.000 0.329
Nd: 0.333 0.667 0.500
Nd: 0.333 0.667 0.824
I: 0.000 0.000 0.662
I: 0.333 0.667 0.167
O: 0.667 0.333 0.414
O: 0.667 0.333 0.910

Values from the calculation:
Raw total energy in eV/atom: -5.7937
Total magnetic moment in μB/cell: 0.007
Space group: P3m1, No. 156
ρ in Mg/m³: 7.559
Volume in Å³/f.u.: 188.4

=====

# 5
PmAlB: relaxed, PBE.

a b c (Å): 6.144 6.144 6.144
angles (deg): 90.00 90.00 90.00
Positions (direct):
Pm: 0.000 0.000 0.000
Pm: 0.000 0.500 0.500
Pm: 0.500 0.000 0.500
Pm: 0.500 0.500 0.000
Al: 0.250 0.250 0.750
Al: 0.250 0.750 0.250
Al: 0.750 0.250 0.250
Al: 0.750 0.750 0.750
B: 0.000 0.000 0.500
B: 0.000 0.500 0.000
B: 0.500 0.000 0.000
B: 0.500 0.500 0.500

Values from the calculation:
Raw total energy in eV/atom: -4.3861
Total magnetic moment in μB/cell: 0.001
Energy above the most stable polymorph in this dataset in eV/atom: 0.733
Space group: F-43m, No. 216
ρ in Mg/m³: 5.236
Volume in Å³/f.u.: 58.0

=====

# 6
SiHgOs2: relaxed, PBE.

a b c (Å): 6.345 6.345 6.345
angles (deg): 90.00 90.00 90.00
Positions (direct):
Si: 0.000 0.000 0.000
Si: 0.000 0.500 0.500
Si: 0.500 0.000 0.500
Si: 0.500 0.500 0.000
Hg: 0.250 0.250 0.250
Hg: 0.250 0.750 0.750
Hg: 0.750 0.250 0.750
Hg: 0.750 0.750 0.250
Os: 0.000 0.000 0.500
Os: 0.000 0.500 0.000
Os: 0.250 0.250 0.750
Os: 0.250 0.750 0.250
Os: 0.500 0.000 0.000
Os: 0.500 0.500 0.500
Os: 0.750 0.250 0.250
Os: 0.750 0.750 0.750

Values from the calculation:
Raw total energy in eV/atom: -6.0926
Total magnetic moment in μB/cell: 0.099
Space group: F-43m, No. 216
ρ in Mg/m³: 15.838
Volume in Å³/f.u.: 63.9

=====

# 7
NdTlAu3S4: relaxed, PBE.

a b c (Å): 6.269 6.269 6.269
angles (deg): 90.00 90.00 90.00
Positions (direct):
Nd: 0.000 0.000 0.000
Tl: 0.500 0.500 0.500
Au: 0.000 0.000 0.500
Au: 0.000 0.500 0.000
Au: 0.500 0.000 0.000
S: 0.245 0.245 0.755
S: 0.245 0.755 0.245
S: 0.755 0.245 0.245
S: 0.755 0.755 0.755

Values from the calculation:
Raw total energy in eV/atom: -4.0349
Total magnetic moment in μB/cell: 0.085
Space group: P-43m, No. 215
ρ in Mg/m³: 7.198
Volume in Å³/f.u.: 246.3

=====

# 8
LiTaCuSb: relaxed, PBE.

a b c (Å): 6.464 6.464 6.464
angles (deg): 90.00 90.00 90.00
Positions (direct):
Li: 0.000 0.000 0.000
Li: 0.000 0.500 0.500
Li: 0.500 0.000 0.500
Li: 0.500 0.500 0.000
Ta: 0.250 0.250 0.250
Ta: 0.250 0.750 0.750
Ta: 0.750 0.250 0.750
Ta: 0.750 0.750 0.250
Cu: 0.250 0.250 0.750
Cu: 0.250 0.750 0.250
Cu: 0.750 0.250 0.250
Cu: 0.750 0.750 0.750
Sb: 0.000 0.000 0.500
Sb: 0.000 0.500 0.000
Sb: 0.500 0.000 0.000
Sb: 0.500 0.500 0.500

Values from the calculation:
Raw total energy in eV/atom: -5.0118
Total magnetic moment in μB/cell: 0.573
Energy above the most stable polymorph in this dataset in eV/atom: 0.000
Space group: F-43m, No. 216
ρ in Mg/m³: 9.180
Volume in Å³/f.u.: 67.5

=====

# 9
AgS: relaxed, PBE.

a b c (Å): 10.579 3.751 3.735
angles (deg): 90.00 90.00 90.00
Positions (direct):
Ag: 0.125 0.250 0.243
Ag: 0.375 0.750 0.743
Ag: 0.625 0.250 0.257
Ag: 0.875 0.750 0.757
S: 0.125 0.750 0.744
S: 0.375 0.250 0.244
S: 0.625 0.750 0.756
S: 0.875 0.250 0.256

Values from the calculation:
Raw total energy in eV/atom: -3.3905
Space group: Pnma, No. 62
ρ in Mg/m³: 6.271
Volume in Å³/f.u.: 37.1

=====

# 10
Dy2F: relaxed, PBE.

a b c (Å): 5.885 5.885 3.731
angles (deg): 90.00 90.00 90.00
Positions (direct):
Dy: 0.208 0.208 0.000
Dy: 0.292 0.708 0.500
Dy: 0.708 0.292 0.500
Dy: 0.792 0.792 0.000
F: 0.000 0.000 0.500
F: 0.500 0.500 0.000

Values from the calculation:
Raw total energy in eV/atom: -5.1783
Total magnetic moment in μB/cell: 0.007
Energy above the most stable polymorph in this dataset in eV/atom: 0.000
Space group: P4_2/mnm, No. 136
ρ in Mg/m³: 8.840
Volume in Å³/f.u.: 64.6

=====

# 11
HfScAg6: relaxed, PBE.

a b c (Å): 4.864 5.969 5.016
angles (deg): 90.00 90.00 90.00
Positions (direct):
Hf: 0.000 0.000 0.000
Sc: 0.500 0.500 0.690
Ag: 0.000 0.251 0.506
Ag: 0.000 0.500 0.012
Ag: 0.000 0.749 0.506
Ag: 0.500 0.000 0.680
Ag: 0.500 0.246 0.182
Ag: 0.500 0.754 0.182

Values from the calculation:
Raw total energy in eV/atom: -4.2722
Total magnetic moment in μB/cell: 0.010
Energy of formation from the pure elements in eV/atom: -0.12
Space group: Pmm2, No. 25
ρ in Mg/m³: 9.929
Volume in Å³/f.u.: 145.6

=====

# 12
PrGdGe4Pd2: relaxed, PBE.

a b c (Å): 4.427 4.299 17.462
angles (deg): 90.00 90.00 90.00
Positions (direct):
Pr: 0.000 0.000 0.000
Pr: 0.000 0.500 0.500
Gd: 0.500 0.000 0.214
Gd: 0.500 0.500 0.714
Ge: 0.000 0.000 0.358
Ge: 0.000 0.000 0.642
Ge: 0.000 0.500 0.142
Ge: 0.000 0.500 0.858
Ge: 0.500 0.000 0.573
Ge: 0.500 0.000 0.854
Ge: 0.500 0.500 0.073
Ge: 0.500 0.500 0.354
Pd: 0.000 0.000 0.781
Pd: 0.000 0.500 0.281
Pd: 0.500 0.000 0.431
Pd: 0.500 0.500 0.931

Values from the calculation:
Raw total energy in eV/atom: -5.5506
Total magnetic moment in μB/cell: 0.009
Space group: Amm2, No. 38
ρ in Mg/m³: 8.010
Volume in Å³/f.u.: 166.2

=====

# 13
FeSbPtW: relaxed, PBE.

a b c (Å): 6.412 6.412 6.412
angles (deg): 90.00 90.00 90.00
Positions (direct):
Fe: 0.000 0.000 0.000
Fe: 0.000 0.500 0.500
Fe: 0.500 0.000 0.500
Fe: 0.500 0.500 0.000
Sb: 0.250 0.250 0.750
Sb: 0.250 0.750 0.250
Sb: 0.750 0.250 0.250
Sb: 0.750 0.750 0.750
Pt: 0.000 0.000 0.500
Pt: 0.000 0.500 0.000
Pt: 0.500 0.000 0.000
Pt: 0.500 0.500 0.500
W: 0.250 0.250 0.250
W: 0.250 0.750 0.750
W: 0.750 0.250 0.750
W: 0.750 0.750 0.250

Values from the calculation:
Raw total energy in eV/atom: -7.3869
Total magnetic moment in μB/cell: 3.420
Energy above the most stable polymorph in this dataset in eV/atom: 0.167
Space group: F-43m, No. 216
ρ in Mg/m³: 14.022
Volume in Å³/f.u.: 65.9

=====

# 14
PaSbPb: relaxed, PBE.

a b c (Å): 7.353 7.353 7.353
angles (deg): 90.00 90.00 90.00
Positions (direct):
Pa: 0.000 0.000 0.000
Pa: 0.000 0.500 0.500
Pa: 0.500 0.000 0.500
Pa: 0.500 0.500 0.000
Sb: 0.000 0.000 0.500
Sb: 0.000 0.500 0.000
Sb: 0.500 0.000 0.000
Sb: 0.500 0.500 0.500
Pb: 0.250 0.250 0.250
Pb: 0.250 0.750 0.750
Pb: 0.750 0.250 0.750
Pb: 0.750 0.750 0.250

Values from the calculation:
Raw total energy in eV/atom: -5.2363
Total magnetic moment in μB/cell: 7.746
Energy above the most stable polymorph in this dataset in eV/atom: 0.377
Space group: F-43m, No. 216
ρ in Mg/m³: 9.355
Volume in Å³/f.u.: 99.4

=====

# 15
Lu4In5Os2: relaxed, PBE.

a b c (Å): 7.700 3.466 9.641
angles (deg): 90.00 93.96 90.00
Positions (direct):
Lu: 0.175 0.000 0.354
Lu: 0.213 0.000 0.945
Lu: 0.787 0.000 0.055
Lu: 0.825 0.000 0.646
In: 0.174 0.500 0.653
In: 0.450 0.500 0.173
In: 0.500 0.500 0.500
In: 0.550 0.500 0.827
In: 0.826 0.500 0.347
Os: 0.073 0.500 0.143
Os: 0.927 0.500 0.857

Values from the calculation:
Raw total energy in eV/atom: -5.2495
Total magnetic moment in μB/cell: 0.016
Space group: P2/m, No. 10
ρ in Mg/m³: 10.703
Volume in Å³/f.u.: 256.7

=====

# 16
YTlCuAu: relaxed, PBE.

a b c (Å): 6.884 6.884 6.884
angles (deg): 90.00 90.00 90.00
Positions (direct):
Y: 0.000 0.000 0.000
Y: 0.000 0.500 0.500
Y: 0.500 0.000 0.500
Y: 0.500 0.500 0.000
Tl: 0.250 0.250 0.750
Tl: 0.250 0.750 0.250
Tl: 0.750 0.250 0.250
Tl: 0.750 0.750 0.750
Cu: 0.250 0.250 0.250
Cu: 0.250 0.750 0.750
Cu: 0.750 0.250 0.750
Cu: 0.750 0.750 0.250
Au: 0.000 0.000 0.500
Au: 0.000 0.500 0.000
Au: 0.500 0.000 0.000
Au: 0.500 0.500 0.500

Values from the calculation:
Raw total energy in eV/atom: -4.1865
Total magnetic moment in μB/cell: 0.000
Energy above the most stable polymorph in this dataset in eV/atom: 0.119
Space group: F-43m, No. 216
ρ in Mg/m³: 11.277
Volume in Å³/f.u.: 81.5

=====

# 17
PmB6Pd: relaxed, PBE.

a b c (Å): 5.094 5.097 5.120
angles (deg): 119.80 90.05 119.96
Positions (direct):
Pm: 0.000 0.000 0.000
B: 0.007 0.341 0.669
B: 0.328 0.335 0.669
B: 0.334 0.662 0.669
B: 0.666 0.338 0.331
B: 0.672 0.665 0.331
B: 0.993 0.659 0.331
Pd: 0.500 0.000 0.500

Values from the calculation:
Raw total energy in eV/atom: -5.8563
Total magnetic moment in μB/cell: 0.000
Space group: P-1, No. 2
ρ in Mg/m³: 5.570
Volume in Å³/f.u.: 94.3

=====

# 18
CdFeTcPb: relaxed, PBE.

a b c (Å): 6.543 6.543 6.543
angles (deg): 90.00 90.00 90.00
Positions (direct):
Cd: 0.000 0.000 0.000
Cd: 0.000 0.500 0.500
Cd: 0.500 0.000 0.500
Cd: 0.500 0.500 0.000
Fe: 0.250 0.250 0.750
Fe: 0.250 0.750 0.250
Fe: 0.750 0.250 0.250
Fe: 0.750 0.750 0.750
Tc: 0.250 0.250 0.250
Tc: 0.250 0.750 0.750
Tc: 0.750 0.250 0.750
Tc: 0.750 0.750 0.250
Pb: 0.000 0.000 0.500
Pb: 0.000 0.500 0.000
Pb: 0.500 0.000 0.000
Pb: 0.500 0.500 0.500

Values from the calculation:
Raw total energy in eV/atom: -5.1603
Total magnetic moment in μB/cell: 10.579
Energy above the most stable polymorph in this dataset in eV/atom: 0.000
Space group: F-43m, No. 216
ρ in Mg/m³: 11.228
Volume in Å³/f.u.: 70.0

=====

# 19
BaPuAl: relaxed, PBE.

a b c (Å): 7.686 7.686 7.686
angles (deg): 90.00 90.00 90.00
Positions (direct):
Ba: 0.000 0.000 0.000
Ba: 0.000 0.500 0.500
Ba: 0.500 0.000 0.500
Ba: 0.500 0.500 0.000
Pu: 0.000 0.000 0.500
Pu: 0.000 0.500 0.000
Pu: 0.500 0.000 0.000
Pu: 0.500 0.500 0.500
Al: 0.250 0.250 0.250
Al: 0.250 0.750 0.750
Al: 0.750 0.250 0.750
Al: 0.750 0.750 0.250

Values from the calculation:
Raw total energy in eV/atom: -6.2300
Total magnetic moment in μB/cell: 24.135
Energy above the most stable polymorph in this dataset in eV/atom: 0.000
Space group: F-43m, No. 216
ρ in Mg/m³: 5.972
Volume in Å³/f.u.: 113.5

=====

# 20
ZnClF: relaxed, PBE.

a b c (Å): 6.459 3.324 9.932
angles (deg): 90.00 90.00 90.00
Positions (direct):
Zn: 0.212 0.250 0.051
Zn: 0.288 0.750 0.551
Zn: 0.712 0.250 0.449
Zn: 0.788 0.750 0.949
Cl: 0.039 0.250 0.843
Cl: 0.461 0.750 0.343
Cl: 0.539 0.250 0.657
Cl: 0.961 0.750 0.157
F: 0.131 0.250 0.547
F: 0.369 0.750 0.047
F: 0.631 0.250 0.953
F: 0.869 0.750 0.453

Values from the calculation:
Raw total energy in eV/atom: -3.2045
Space group: Pnma, No. 62
ρ in Mg/m³: 3.733
Volume in Å³/f.u.: 53.3